Compound: Rb3NaN
Source: the Alexandria database
Functional: GGA-PBEsol
Structure: optimized geometry

The structure belongs to space group Pm-3m (No. 221); the cell edges are 7.315, 7.315 and 7.315 Å and the angles 90.00°, 90.00° and 90.00°. The inequivalent atoms are Rb at (0.000, 0.000, 0.500), Na at (0.000, 0.000, 0.000) and N at (0.500, 0.500, 0.500).

The mass density is 1.24 g/cm3. The density of states at the Fermi level is 6.00 states/eV/cell. Its magnetic moment is 1.81 μB/f.u. The raw formation energy is 25.66 kcal/mol of atoms.